1.
Density functional theory data (PBE) for a relaxed TeSeBr2Cl crystal.

Lattice parameters (Å, degrees): 5.4634 5.4634 5.5899 90.00 90.00 90.00
Positions (direct):
1 Te 0.0000 0.0000 0.0000
2 Se 0.0000 0.0000 0.5000
3 Br 0.0000 0.5000 0.0000
4 Br 0.5000 0.0000 0.0000
5 Cl 0.5000 0.5000 0.5000

## Properties
Spin magnetization, μB per atom: 0.27
Energy above the most stable polymorph in this dataset, kJ/mol of atoms: 0.0
Raw total energy, eV for the cell shown: -10.627

2.
Density functional theory data (PBE) for a relaxed TbCdSbAu crystal.

Lattice parameters (Å, degrees): 7.2789 7.2789 7.2789 90.00 90.00 90.00
Positions (direct):
1 Tb 0.0000 0.0000 0.0000
2 Tb 0.0000 0.5000 0.5000
3 Tb 0.5000 0.0000 0.5000
4 Tb 0.5000 0.5000 0.0000
5 Cd 0.0000 0.0000 0.5000
6 Cd 0.0000 0.5000 0.0000
7 Cd 0.5000 0.0000 0.0000
8 Cd 0.5000 0.5000 0.5000
9 Sb 0.2500 0.2500 0.7500
10 Sb 0.2500 0.7500 0.2500
11 Sb 0.7500 0.2500 0.2500
12 Sb 0.7500 0.7500 0.7500
13 Au 0.2500 0.2500 0.2500
14 Au 0.2500 0.7500 0.7500
15 Au 0.7500 0.2500 0.7500
16 Au 0.7500 0.7500 0.2500

## Properties
Spin magnetization, μB per atom: 0.00
Raw total energy, eV for the cell shown: -58.914

3.
Density functional theory data (PBE) for a relaxed HgTeRu2 crystal.

Lattice parameters (Å, degrees): 3.9830 3.9830 9.1350 90.00 90.00 90.00
Positions (direct):
1 Hg 0.0000 0.0000 0.0000
2 Hg 0.5000 0.5000 0.5000
3 Te 0.0000 0.5000 0.2500
4 Te 0.5000 0.0000 0.7500
5 Ru 0.0000 0.0000 0.5000
6 Ru 0.0000 0.5000 0.7500
7 Ru 0.5000 0.0000 0.2500
8 Ru 0.5000 0.5000 0.0000

## Properties
Spin magnetization, μB per atom: 0.52
Energy above the most stable polymorph in this dataset, kJ/mol of atoms: 31.8
Raw total energy, eV for the cell shown: -38.392